Entry 1:
# Al2SbSe, relaxed, DFT PBE
# **Space-group type**: No. 71
# **Offset from the most stable computed form**: 1.44 eV per formula unit
data_Al2SbSe
_cell_length_a 3.4102
_cell_length_b 5.3797
_cell_length_c 9.2738
_cell_angle_alpha 90.00
_cell_angle_beta 90.00
_cell_angle_gamma 90.00
_space_group_name_H-M_alt 'P 1'
_space_group_IT_number 1
loop_
_space_group_symop_operation_xyz
'x,y,z'
loop_
_atom_site_label
_atom_site_fract_x
_atom_site_fract_y
_atom_site_fract_z
Al1 0.0000 0.0000 0.2254
Al2 0.0000 0.0000 0.7746
Al3 0.5000 0.5000 0.2746
Al4 0.5000 0.5000 0.7254
Sb1 0.0000 0.5000 0.0000
Sb2 0.5000 0.0000 0.5000
Se1 0.0000 0.5000 0.5000
Se2 0.5000 0.0000 0.0000

---

Entry 2:
# AlSbSe, relaxed, DFT PBE
# **Space-group type**: No. 156
data_AlSbSe
_cell_length_a 3.5157
_cell_length_b 3.5157
_cell_length_c 7.5636
_cell_angle_alpha 90.00
_cell_angle_beta 90.00
_cell_angle_gamma 120.00
_space_group_name_H-M_alt 'P 1'
_space_group_IT_number 1
loop_
_space_group_symop_operation_xyz
'x,y,z'
loop_
_atom_site_label
_atom_site_fract_x
_atom_site_fract_y
_atom_site_fract_z
Al1 0.0000 0.0000 0.0000
Sb1 0.3333 0.6667 0.3085
Se1 0.6667 0.3333 0.8251

---

Entry 3:
# AlSb2Se, relaxed, DFT PBE
# **Space-group type**: No. 10
# **Offset from the most stable computed form**: 0.39 eV per formula unit
data_AlSb2Se
_cell_length_a 5.0680
_cell_length_b 4.1935
_cell_length_c 5.0888
_cell_angle_alpha 90.00
_cell_angle_beta 109.84
_cell_angle_gamma 90.00
_space_group_name_H-M_alt 'P 1'
_space_group_IT_number 1
loop_
_space_group_symop_operation_xyz
'x,y,z'
loop_
_atom_site_label
_atom_site_fract_x
_atom_site_fract_y
_atom_site_fract_z
Al1 0.0000 0.0000 0.0000
Sb1 0.2238 0.5000 0.7768
Sb2 0.7762 0.5000 0.2232
Se1 0.5000 0.0000 0.5000

---

Entry 4:
# Al2SbSe, relaxed, DFT PBE
# **Space-group type**: No. 99
# **Offset from the most stable computed form**: 1.07 eV per formula unit
data_Al2SbSe
_cell_length_a 3.1377
_cell_length_b 3.1377
_cell_length_c 9.2966
_cell_angle_alpha 90.00
_cell_angle_beta 90.00
_cell_angle_gamma 90.00
_space_group_name_H-M_alt 'P 1'
_space_group_IT_number 1
loop_
_space_group_symop_operation_xyz
'x,y,z'
loop_
_atom_site_label
_atom_site_fract_x
_atom_site_fract_y
_atom_site_fract_z
Al1 0.0000 0.0000 0.0000
Al2 0.5000 0.5000 0.2095
Sb1 0.0000 0.0000 0.4554
Se1 0.5000 0.5000 0.8460

---

Entry 5:
# AlSb2Se, relaxed, DFT PBE
# **Space-group type**: No. 139
# **Offset from the most stable computed form**: 0.16 eV per formula unit
data_AlSb2Se
_cell_length_a 5.8021
_cell_length_b 5.8021
_cell_length_c 6.0388
_cell_angle_alpha 90.00
_cell_angle_beta 90.00
_cell_angle_gamma 90.00
_space_group_name_H-M_alt 'P 1'
_space_group_IT_number 1
loop_
_space_group_symop_operation_xyz
'x,y,z'
loop_
_atom_site_label
_atom_site_fract_x
_atom_site_fract_y
_atom_site_fract_z
Al1 0.0000 0.0000 0.0000
Al2 0.5000 0.5000 0.5000
Sb1 0.0000 0.5000 0.0000
Sb2 0.0000 0.5000 0.5000
Sb3 0.5000 0.0000 0.0000
Sb4 0.5000 0.0000 0.5000
Se1 0.0000 0.0000 0.5000
Se2 0.5000 0.5000 0.0000

---

Entry 6:
# Al2SbSe, relaxed, DFT PBE
# **Space-group type**: No. 65
# **Offset from the most stable computed form**: 0.88 eV per formula unit
data_Al2SbSe
_cell_length_a 5.6627
_cell_length_b 8.6498
_cell_length_c 3.6667
_cell_angle_alpha 90.00
_cell_angle_beta 90.00
_cell_angle_gamma 90.00
_space_group_name_H-M_alt 'P 1'
_space_group_IT_number 1
loop_
_space_group_symop_operation_xyz
'x,y,z'
loop_
_atom_site_label
_atom_site_fract_x
_atom_site_fract_y
_atom_site_fract_z
Al1 0.0000 0.2357 0.0000
Al2 0.0000 0.7643 0.0000
Al3 0.5000 0.2643 0.0000
Al4 0.5000 0.7357 0.0000
Sb1 0.0000 0.5000 0.5000
Sb2 0.5000 0.0000 0.5000
Se1 0.0000 0.0000 0.5000
Se2 0.5000 0.5000 0.5000

---

Entry 7:
# AlSbSe, relaxed, DFT PBE
# **Space-group type**: No. 2
data_AlSbSe
_cell_length_a 3.5381
_cell_length_b 6.1808
_cell_length_c 8.6305
_cell_angle_alpha 82.39
_cell_angle_beta 78.21
_cell_angle_gamma 89.42
_space_group_name_H-M_alt 'P 1'
_space_group_IT_number 1
loop_
_space_group_symop_operation_xyz
'x,y,z'
loop_
_atom_site_label
_atom_site_fract_x
_atom_site_fract_y
_atom_site_fract_z
Al1 0.1734 0.0130 0.1533
Al2 0.8266 0.9870 0.8467
Sb1 0.0371 0.2157 0.4128
Sb2 0.9629 0.7843 0.5872
Se1 0.3019 0.2452 0.8876
Se2 0.6981 0.7548 0.1124

---

Entry 8:
# AlSb2Se, relaxed, DFT PBE
# **Space-group type**: No. 8
# **Offset from the most stable computed form**: 0.33 eV per formula unit
data_AlSb2Se
_cell_length_a 12.4179
_cell_length_b 3.6229
_cell_length_c 5.1427
_cell_angle_alpha 90.00
_cell_angle_beta 112.83
_cell_angle_gamma 90.00
_space_group_name_H-M_alt 'P 1'
_space_group_IT_number 1
loop_
_space_group_symop_operation_xyz
'x,y,z'
loop_
_atom_site_label
_atom_site_fract_x
_atom_site_fract_y
_atom_site_fract_z
Al1 0.0000 0.0000 0.0000
Al2 0.5000 0.5000 0.0000
Sb1 0.3036 0.0000 0.9444
Sb2 0.4649 0.0000 0.5420
Sb3 0.8036 0.5000 0.9444
Sb4 0.9649 0.5000 0.5420
Se1 0.1347 0.5000 0.2882
Se2 0.6347 0.0000 0.2882

---

Entry 9:
# Al2SbSe4, relaxed, DFT PBE
# **Space-group type**: No. 87
data_Al2SbSe4
_cell_length_a 7.8911
_cell_length_b 7.8911
_cell_length_c 6.3421
_cell_angle_alpha 90.00
_cell_angle_beta 90.00
_cell_angle_gamma 90.00
_space_group_name_H-M_alt 'P 1'
_space_group_IT_number 1
loop_
_space_group_symop_operation_xyz
'x,y,z'
loop_
_atom_site_label
_atom_site_fract_x
_atom_site_fract_y
_atom_site_fract_z
Al1 0.0000 0.5000 0.2500
Al2 0.0000 0.5000 0.7500
Al3 0.5000 0.0000 0.2500
Al4 0.5000 0.0000 0.7500
Sb1 0.0000 0.0000 0.0000
Sb2 0.5000 0.5000 0.5000
Se1 0.1628 0.3326 0.0000
Se2 0.1674 0.6628 0.5000
Se3 0.3326 0.8372 0.0000
Se4 0.3372 0.1674 0.5000
Se5 0.6628 0.8326 0.5000
Se6 0.6674 0.1628 0.0000
Se7 0.8326 0.3372 0.5000
Se8 0.8372 0.6674 0.0000

---

Entry 10:
# Al2SbSe, relaxed, DFT PBE
# **Space-group type**: No. 35
# **Offset from the most stable computed form**: 1.03 eV per formula unit
data_Al2SbSe
_cell_length_a 3.7838
_cell_length_b 5.1502
_cell_length_c 9.4727
_cell_angle_alpha 90.00
_cell_angle_beta 90.00
_cell_angle_gamma 90.00
_space_group_name_H-M_alt 'P 1'
_space_group_IT_number 1
loop_
_space_group_symop_operation_xyz
'x,y,z'
loop_
_atom_site_label
_atom_site_fract_x
_atom_site_fract_y
_atom_site_fract_z
Al1 0.0000 0.0000 0.0000
Al2 0.0000 0.5000 0.2195
Al3 0.5000 0.0000 0.2195
Al4 0.5000 0.5000 0.0000
Sb1 0.0000 0.0000 0.4520
Sb2 0.5000 0.5000 0.4520
Se1 0.0000 0.5000 0.8311
Se2 0.5000 0.0000 0.8311

---

Entry 11:
# AlSb2Se, relaxed, DFT PBE
# **Space-group type**: No. 166
# **Offset from the most stable computed form**: 0.65 eV per formula unit
data_AlSb2Se
_cell_length_a 4.0948
_cell_length_b 4.0948
_cell_length_c 20.8274
_cell_angle_alpha 90.00
_cell_angle_beta 90.00
_cell_angle_gamma 120.00
_space_group_name_H-M_alt 'P 1'
_space_group_IT_number 1
loop_
_space_group_symop_operation_xyz
'x,y,z'
loop_
_atom_site_label
_atom_site_fract_x
_atom_site_fract_y
_atom_site_fract_z
Al1 0.0000 0.0000 0.0000
Al2 0.3333 0.6667 0.6667
Al3 0.6667 0.3333 0.3333
Sb1 0.0000 0.0000 0.2584
Sb2 0.0000 0.0000 0.7416
Sb3 0.3333 0.6667 0.4083
Sb4 0.3333 0.6667 0.9250
Sb5 0.6667 0.3333 0.0750
Sb6 0.6667 0.3333 0.5917
Se1 0.0000 0.0000 0.5000
Se2 0.3333 0.6667 0.1667
Se3 0.6667 0.3333 0.8333

---

Entry 12:
# AlSb2Se, relaxed, DFT PBE
# **Space-group type**: No. 47
# **Offset from the most stable computed form**: 1.11 eV per formula unit
data_AlSb2Se
_cell_length_a 3.5905
_cell_length_b 4.7962
_cell_length_c 5.5470
_cell_angle_alpha 90.00
_cell_angle_beta 90.00
_cell_angle_gamma 90.00
_space_group_name_H-M_alt 'P 1'
_space_group_IT_number 1
loop_
_space_group_symop_operation_xyz
'x,y,z'
loop_
_atom_site_label
_atom_site_fract_x
_atom_site_fract_y
_atom_site_fract_z
Al1 0.0000 0.0000 0.0000
Sb1 0.0000 0.5000 0.5000
Sb2 0.5000 0.5000 0.0000
Se1 0.5000 0.0000 0.5000

---

Entry 13:
# AlSb2Se, relaxed, DFT PBE
# **Space-group type**: No. 99
# **Offset from the most stable computed form**: 0.59 eV per formula unit
data_AlSb2Se
_cell_length_a 3.3637
_cell_length_b 3.3637
_cell_length_c 8.8320
_cell_angle_alpha 90.00
_cell_angle_beta 90.00
_cell_angle_gamma 90.00
_space_group_name_H-M_alt 'P 1'
_space_group_IT_number 1
loop_
_space_group_symop_operation_xyz
'x,y,z'
loop_
_atom_site_label
_atom_site_fract_x
_atom_site_fract_y
_atom_site_fract_z
Al1 0.0000 0.0000 0.0000
Sb1 0.0000 0.0000 0.5148
Sb2 0.5000 0.5000 0.2578
Se1 0.5000 0.5000 0.8791

---

Entry 14:
# Al3SbSe, relaxed, DFT PBE
# **Space-group type**: No. 221
# **Offset from the most stable computed form**: 1.33 eV per formula unit
data_Al3SbSe
_cell_length_a 5.3551
_cell_length_b 5.3551
_cell_length_c 5.3551
_cell_angle_alpha 90.00
_cell_angle_beta 90.00
_cell_angle_gamma 90.00
_space_group_name_H-M_alt 'P 1'
_space_group_IT_number 1
loop_
_space_group_symop_operation_xyz
'x,y,z'
loop_
_atom_site_label
_atom_site_fract_x
_atom_site_fract_y
_atom_site_fract_z
Al1 0.0000 0.0000 0.5000
Al2 0.0000 0.5000 0.0000
Al3 0.5000 0.0000 0.0000
Sb1 0.0000 0.0000 0.0000
Se1 0.5000 0.5000 0.5000

---

Entry 15:
# AlSb2Se, relaxed, DFT PBE
# **Space-group type**: No. 225
# **Offset from the most stable computed form**: 1.51 eV per formula unit
data_AlSb2Se
_cell_length_a 7.2100
_cell_length_b 7.2100
_cell_length_c 7.2100
_cell_angle_alpha 90.00
_cell_angle_beta 90.00
_cell_angle_gamma 90.00
_space_group_name_H-M_alt 'P 1'
_space_group_IT_number 1
loop_
_space_group_symop_operation_xyz
'x,y,z'
loop_
_atom_site_label
_atom_site_fract_x
_atom_site_fract_y
_atom_site_fract_z
Al1 0.0000 0.0000 0.0000
Al2 0.0000 0.5000 0.5000
Al3 0.5000 0.0000 0.5000
Al4 0.5000 0.5000 0.0000
Sb1 0.2500 0.2500 0.2500
Sb2 0.2500 0.2500 0.7500
Sb3 0.2500 0.7500 0.2500
Sb4 0.2500 0.7500 0.7500
Sb5 0.7500 0.2500 0.2500
Sb6 0.7500 0.2500 0.7500
Sb7 0.7500 0.7500 0.2500
Sb8 0.7500 0.7500 0.7500
Se1 0.0000 0.0000 0.5000
Se2 0.0000 0.5000 0.0000
Se3 0.5000 0.0000 0.0000
Se4 0.5000 0.5000 0.5000

---

Entry 16:
# Al2SbSe2, relaxed, DFT PBE
# **Space-group type**: No. 127
# **Offset from the most stable computed form**: 0.08 eV per formula unit
data_Al2SbSe2
_cell_length_a 7.6328
_cell_length_b 7.6328
_cell_length_c 3.5274
_cell_angle_alpha 90.00
_cell_angle_beta 90.00
_cell_angle_gamma 90.00
_space_group_name_H-M_alt 'P 1'
_space_group_IT_number 1
loop_
_space_group_symop_operation_xyz
'x,y,z'
loop_
_atom_site_label
_atom_site_fract_x
_atom_site_fract_y
_atom_site_fract_z
Al1 0.1464 0.3536 0.0000
Al2 0.3536 0.8536 0.0000
Al3 0.6464 0.1464 0.0000
Al4 0.8536 0.6464 0.0000
Sb1 0.0000 0.0000 0.0000
Sb2 0.5000 0.5000 0.0000
Se1 0.1455 0.6455 0.5000
Se2 0.3545 0.1455 0.5000
Se3 0.6455 0.8545 0.5000
Se4 0.8545 0.3545 0.5000

---

Entry 17:
# Al2SbSe, relaxed, DFT PBE
# **Space-group type**: No. 47
# **Offset from the most stable computed form**: 1.57 eV per formula unit
data_Al2SbSe
_cell_length_a 3.3403
_cell_length_b 4.9015
_cell_length_c 5.2114
_cell_angle_alpha 90.00
_cell_angle_beta 90.00
_cell_angle_gamma 90.00
_space_group_name_H-M_alt 'P 1'
_space_group_IT_number 1
loop_
_space_group_symop_operation_xyz
'x,y,z'
loop_
_atom_site_label
_atom_site_fract_x
_atom_site_fract_y
_atom_site_fract_z
Al1 0.0000 0.0000 0.0000
Al2 0.5000 0.5000 0.0000
Sb1 0.0000 0.5000 0.5000
Se1 0.5000 0.0000 0.5000

---

Entry 18:
# AlSbTe2Se, relaxed, DFT PBE
# **Space-group type**: No. 123
# **Offset from the most stable computed form**: 0.00 eV per formula unit
data_AlSbTe2Se
_cell_length_a 5.2243
_cell_length_b 5.2243
_cell_length_c 5.3758
_cell_angle_alpha 90.00
_cell_angle_beta 90.00
_cell_angle_gamma 90.00
_space_group_name_H-M_alt 'P 1'
_space_group_IT_number 1
loop_
_space_group_symop_operation_xyz
'x,y,z'
loop_
_atom_site_label
_atom_site_fract_x
_atom_site_fract_y
_atom_site_fract_z
Al1 0.0000 0.0000 0.0000
Sb1 0.0000 0.0000 0.5000
Te1 0.0000 0.5000 0.0000
Te2 0.5000 0.0000 0.0000
Se1 0.5000 0.5000 0.5000

---

Entry 19:
# AlSbTe2Se, relaxed, DFT PBE
# **Space-group type**: No. 123
# **Offset from the most stable computed form**: 0.50 eV per formula unit
data_AlSbTe2Se
_cell_length_a 5.5002
_cell_length_b 5.5002
_cell_length_c 5.4541
_cell_angle_alpha 90.00
_cell_angle_beta 90.00
_cell_angle_gamma 90.00
_space_group_name_H-M_alt 'P 1'
_space_group_IT_number 1
loop_
_space_group_symop_operation_xyz
'x,y,z'
loop_
_atom_site_label
_atom_site_fract_x
_atom_site_fract_y
_atom_site_fract_z
Al1 0.0000 0.0000 0.0000
Sb1 0.5000 0.5000 0.0000
Te1 0.0000 0.5000 0.5000
Te2 0.5000 0.0000 0.5000
Se1 0.5000 0.5000 0.5000

---

Entry 20:
# AlTlSb2Se, relaxed, DFT PBE
# **Space-group type**: No. 123
data_AlTlSb2Se
_cell_length_a 5.3790
_cell_length_b 5.3790
_cell_length_c 5.0353
_cell_angle_alpha 90.00
_cell_angle_beta 90.00
_cell_angle_gamma 90.00
_space_group_name_H-M_alt 'P 1'
_space_group_IT_number 1
loop_
_space_group_symop_operation_xyz
'x,y,z'
loop_
_atom_site_label
_atom_site_fract_x
_atom_site_fract_y
_atom_site_fract_z
Al1 0.0000 0.0000 0.0000
Tl1 0.5000 0.5000 0.5000
Sb1 0.0000 0.5000 0.0000
Sb2 0.5000 0.0000 0.0000
Se1 0.0000 0.0000 0.5000

---

It is found that the mass density values, taken in the order of the records, are 4.97 4.67 5.70 4.62 5.71 4.71 4.13 5.44 4.13 4.58 5.76 6.07 5.81 3.05 6.19 5.39 4.96 5.47 4.86 6.31 g/cm3.
It is found that the formation energy (no corrections) values, taken in the order of the records, are 0.5 -0.9 -0.1 0.1 -0.3 -0.1 -1.3 -0.1 -4.1 0.1 0.2 0.6 0.1 3.6 1.0 -0.3 0.6 2.5 3.0 1.0 eV per formula unit.